1.
The following is a PBE-GGA calculation of a relaxed structure of Na2ZrSnSe5, from the Alexandria database.

It has space group Cmc2_1 (No. 36), with a = 3.963 Å, b = 18.184 Å, c = 13.776 Å, α = 90.00°, β = 90.00° and γ = 90.00°. The inequivalent atoms are Na at (0.000, 0.102, 0.000), Na at (0.000, 0.125, 0.666), Zr at (0.000, 0.232, 0.389), Sn at (0.000, 0.433, 0.768), Se at (0.000, 0.061, 0.392), Se at (0.000, 0.281, 0.018), Se at (0.000, 0.293, 0.745), Se at (0.000, 0.365, 0.343) and Se at (0.000, 0.500, 0.110).

The uncorrected formation energy comes out at -0.937 eV/atom.

2.
The following is a PBE-GGA calculation of a relaxed structure of La2Sn2Bi, from the Alexandria database.

It has space group I4/mmm (No. 139), with a = 6.273 Å, b = 6.273 Å, c = 9.060 Å, α = 90.00°, β = 90.00° and γ = 90.00°. The inequivalent atoms are La at (0.000, 0.500, 0.250), Sn at (0.000, 0.000, 0.159) and Bi at (0.000, 0.000, 0.500).

The calculation puts the density of states at the Fermi level at 8.41 states/eV/f.u. For the formation energy, the calculation gives -1.7 eV/f.u.